ZrScPb2: relaxed, PBE.

Cell and atoms, written as POSCAR:
```
ZrScPb2
1.0
4.3108 0.0000 0.0000
0.0000 5.1982 0.0000
0.0000 0.0000 8.7419
Zr Sc Pb
2 2 4
Direct
0.0000 0.0000 0.0000 Zr
0.5000 0.5000 0.0000 Zr
0.0000 0.0000 0.5000 Sc
0.5000 0.5000 0.5000 Sc
0.0000 0.5000 0.2502 Pb
0.0000 0.5000 0.7498 Pb
0.5000 0.0000 0.2502 Pb
0.5000 0.0000 0.7498 Pb
```

Output
ΔE_f	-5.08	kcal/mol of atoms
mass density	9.3	g/cm3
N(E_F)	4.910	states/eV/cell